# 1
# Al2InAs PBE optimized geometry
data_Al2InAs
_chemical_formula_sum 'Al4 In2 As2'
_cell_length_a 3.625
_cell_length_b 3.664
_cell_length_c 13.073
_cell_angle_alpha 90.00
_cell_angle_beta 90.00
_cell_angle_gamma 90.00
_space_group_name_H-M_alt 'I m m 2'
_space_group_IT_number 44
_space_group_name_Hall 'I 2 -2'
loop_
_atom_site_label
_atom_site_fract_x
_atom_site_fract_y
_atom_site_fract_z
Al1 0.000 0.000 0.000
Al2 0.000 0.500 0.194
In1 0.000 0.500 0.818
As1 0.000 0.000 0.549
# Formation energy from the elements in kJ/mol of formula units: 28
# Fermi-level density of states in states/eV/f.u.: 1.58
# Energy above the lowest structure with this stoichiometry in meV/atom: 95.8

***

# 2
# Sr3Zn7Au4 PBE optimized geometry
data_Sr3Zn7Au4
_chemical_formula_sum 'Sr6 Zn14 Au8'
_cell_length_a 16.484
_cell_length_b 4.536
_cell_length_c 9.615
_cell_angle_alpha 90.00
_cell_angle_beta 124.23
_cell_angle_gamma 90.00
_space_group_name_H-M_alt 'C 1 2/m 1'
_space_group_IT_number 12
_space_group_name_Hall '-C 2y'
loop_
_atom_site_label
_atom_site_fract_x
_atom_site_fract_y
_atom_site_fract_z
Sr1 0.000 0.000 0.000
Sr2 0.201 0.500 0.700
Zn1 0.000 0.000 0.500
Zn2 0.001 0.500 0.691
Zn3 0.132 0.000 0.415
Zn4 0.171 0.500 0.018
Au1 0.124 0.000 0.839
Au2 0.156 0.500 0.290
# Formation energy from the elements in kJ/mol of formula units: -599
# Fermi-level density of states in states/eV/f.u.: 6.92

***

# 3
# Pm2Mg16Al PBE optimized geometry
data_Pm2Mg16Al
_chemical_formula_sum 'Pm6 Mg48 Al3'
_cell_length_a 10.2086
_cell_length_b 10.2086
_cell_length_c 15.1466
_cell_angle_alpha 90.00
_cell_angle_beta 90.00
_cell_angle_gamma 120.00
_space_group_name_H-M_alt 'R 3 m'
_space_group_IT_number 160
_space_group_name_Hall 'R 3 -2"'
loop_
_atom_site_label
_atom_site_fract_x
_atom_site_fract_y
_atom_site_fract_z
Pm1 0.0000 0.0000 0.0000
Pm2 0.0000 0.0000 0.3532
Mg1 0.0000 0.0000 0.5883
Mg2 0.9999 0.3015 0.6786
Mg3 0.0069 0.5035 0.8301
Mg4 0.1684 0.3369 0.5118
Mg5 0.1706 0.3412 0.8600
Al1 0.0000 0.0000 0.7814
# Formation energy from the elements in kJ/mol of formula units: -91
# Fermi-level density of states in states/eV/f.u.: 6.53

***

# 4
# ZrTaNbIn2 PBE optimized geometry
data_ZrTaNbIn2
_chemical_formula_sum 'Zr1 Ta1 Nb1 In2'
_cell_length_a 5.285
_cell_length_b 5.285
_cell_length_c 4.819
_cell_angle_alpha 90.00
_cell_angle_beta 90.00
_cell_angle_gamma 90.00
_space_group_name_H-M_alt 'P 4/m m m'
_space_group_IT_number 123
_space_group_name_Hall '-P 4 2'
loop_
_atom_site_label
_atom_site_fract_x
_atom_site_fract_y
_atom_site_fract_z
Zr1 0.000 0.000 0.000
Ta1 0.500 0.500 0.500
Nb1 0.000 0.000 0.500
In1 0.000 0.500 0.000
# Formation energy from the elements in kJ/mol of formula units: 811
# Fermi-level density of states in states/eV/f.u.: 7.40

***

- Which of these has the lowest Fermi-level density of states?
  Al2InAs

***

- Which value of formation energy from the elements does entry 2 give?
  -599 kJ/mol of formula units

***

- Among the records above, which one has the highest Fermi-level density of states?
  ZrTaNbIn2